1.
First-principles (GGA-PBE) data for a geometry-optimized TlCoCl3 structure, as listed in the Open Quantum Materials Database.

```
data_TlCoCl3
_chemical_formula_sum 'Tl2 Co2 Cl6'
_cell_length_a 6.2515
_cell_length_b 6.5480
_cell_length_c 8.2368
_cell_angle_alpha 67.79
_cell_angle_beta 88.23
_cell_angle_gamma 84.16
_symmetry_space_group_name_H-M 'P 1'
_symmetry_Int_Tables_number 1
loop_
_symmetry_equiv_pos_as_xyz
'x,y,z'
loop_
_atom_site_label
_atom_site_fract_x
_atom_site_fract_y
_atom_site_fract_z
Tl1 0.0000 0.0000 0.0000
Tl2 0.4955 0.2448 0.4968
Co1 0.4642 0.5155 0.8925
Co2 0.9612 0.6530 0.6046
Cl1 0.3012 0.7353 0.6339
Cl2 0.3162 0.5615 0.1257
Cl3 0.4808 0.1636 0.9167
Cl4 0.8040 0.6246 0.8639
Cl5 0.8074 0.9220 0.3728
Cl6 0.9771 0.3249 0.5793
```

The calculation puts the total energy at -37.66 eV for the cell shown. The value obtained for the calculated volume is 31.05 Å³ per atom.

***

2.
First-principles (GGA-PBE) data for a geometry-optimized DyY2Tm2Lu2Ni2Te2 structure, as listed in the Open Quantum Materials Database.

```
data_DyY2Tm2Lu2Ni2Te2
_chemical_formula_sum 'Dy2 Y4 Tm4 Lu4 Ni4 Te4'
_cell_length_a 3.8183
_cell_length_b 15.4340
_cell_length_c 9.5010
_cell_angle_alpha 90.00
_cell_angle_beta 90.00
_cell_angle_gamma 90.00
_symmetry_space_group_name_H-M 'I m m 2'
_symmetry_Int_Tables_number 44
loop_
_symmetry_equiv_pos_as_xyz
'x,y,z'
'-x,-y,z'
'-x,y,z'
'x,-y,z'
'x+1/2,y+1/2,z+1/2'
'-x+1/2,-y+1/2,z+1/2'
'-x+1/2,y+1/2,z+1/2'
'x+1/2,-y+1/2,z+1/2'
loop_
_atom_site_label
_atom_site_fract_x
_atom_site_fract_y
_atom_site_fract_z
Dy1 0.0000 0.0000 0.0000
Y1 0.0000 0.3151 0.6214
Tm1 0.0000 0.1323 0.4192
Lu1 0.0000 0.3530 0.2701
Ni1 0.0000 0.2385 0.9272
Te1 0.0000 0.0000 0.6646
Te2 0.0000 0.5000 0.7663
```

The calculation puts the total energy at -120.60 eV for the cell shown. The value obtained for the calculated volume is 25.45 Å³ per atom.

***

3.
First-principles (GGA-PBE) data for a geometry-optimized Lu3Se2S structure, as listed in the Open Quantum Materials Database.

```
data_Lu3Se2S
_chemical_formula_sum 'Lu3 Se2 S1'
_cell_length_a 3.9095
_cell_length_b 3.9095
_cell_length_c 9.6612
_cell_angle_alpha 90.00
_cell_angle_beta 90.00
_cell_angle_gamma 120.00
_symmetry_space_group_name_H-M 'P -3 m 1'
_symmetry_Int_Tables_number 164
_symmetry_space_group_name_Hall '-P 3 2"'
loop_
_atom_site_label
_atom_site_fract_x
_atom_site_fract_y
_atom_site_fract_z
Lu1 0.0000 0.0000 0.0000
Lu2 0.3333 0.6667 0.6497
Se1 0.3333 0.6667 0.1726
S1 0.0000 0.0000 0.5000
```

The calculation puts the total energy at -34.74 eV for the cell shown. The value obtained for the calculated volume is 21.31 Å³ per atom.

***

4.
First-principles (GGA-PBE) data for a geometry-optimized SrLaSi3Ag structure, as listed in the Open Quantum Materials Database.

```
data_SrLaSi3Ag
_chemical_formula_sum 'Sr8 La8 Si24 Ag8'
_cell_length_a 8.4273
_cell_length_b 8.9591
_cell_length_c 14.7116
_cell_angle_alpha 90.00
_cell_angle_beta 90.00
_cell_angle_gamma 90.00
_symmetry_space_group_name_H-M 'F m m m'
_symmetry_Int_Tables_number 69
_symmetry_space_group_name_Hall '-F 2 2'
loop_
_atom_site_label
_atom_site_fract_x
_atom_site_fract_y
_atom_site_fract_z
Sr1 0.2500 0.2500 0.2500
La1 0.0000 0.2417 0.0000
Si1 0.0000 0.0000 0.1598
Si2 0.2453 0.0000 0.0799
Ag1 0.0000 0.0000 0.3323
```

The calculation puts the total energy at -233.56 eV for the cell shown. The value obtained for the calculated volume is 23.14 Å³ per atom.

***

5.
First-principles (GGA-PBE) data for a geometry-optimized LiSmFeTe3 structure, as listed in the Open Quantum Materials Database.

```
data_LiSmFeTe3
_chemical_formula_sum 'Li2 Sm2 Fe2 Te6'
_cell_length_a 8.5121
_cell_length_b 4.1602
_cell_length_c 9.9946
_cell_angle_alpha 90.00
_cell_angle_beta 101.36
_cell_angle_gamma 90.00
_symmetry_space_group_name_H-M 'P 1 21/m 1'
_symmetry_Int_Tables_number 11
loop_
_symmetry_equiv_pos_as_xyz
'x,y,z'
'-x,-y,-z'
'-x,y+1/2,-z'
'x,-y+1/2,z'
loop_
_atom_site_label
_atom_site_fract_x
_atom_site_fract_y
_atom_site_fract_z
Li1 0.1998 0.2500 0.2491
Sm1 0.3251 0.7500 0.8447
Fe1 0.0642 0.2500 0.5753
Te1 0.0538 0.2500 0.8381
Te2 0.2447 0.7500 0.5200
Te3 0.4087 0.7500 0.1658
```

The calculation puts the total energy at -58.07 eV for the cell shown. The value obtained for the calculated volume is 28.92 Å³ per atom.

***

6.
First-principles (GGA-PBE) data for a geometry-optimized AlBiMo4N2 structure, as listed in the Open Quantum Materials Database.

```
data_AlBiMo4N2
_chemical_formula_sum 'Al1 Bi1 Mo4 N2'
_cell_length_a 3.2362
_cell_length_b 3.2362
_cell_length_c 13.1487
_cell_angle_alpha 90.00
_cell_angle_beta 90.00
_cell_angle_gamma 120.00
_symmetry_space_group_name_H-M 'P -6 m 2'
_symmetry_Int_Tables_number 187
_symmetry_space_group_name_Hall 'P -6 2'
loop_
_atom_site_label
_atom_site_fract_x
_atom_site_fract_y
_atom_site_fract_z
Al1 0.0000 0.0000 0.0000
Bi1 0.6667 0.3333 0.5000
Mo1 0.0000 0.0000 0.3110
Mo2 0.6667 0.3333 0.1566
N1 0.3333 0.6667 0.2443
```

The calculation puts the total energy at -67.30 eV for the cell shown. The value obtained for the calculated volume is 14.91 Å³ per atom.

***

7.
First-principles (GGA-PBE) data for a geometry-optimized PrLuSb structure, as listed in the Open Quantum Materials Database.

```
data_PrLuSb
_chemical_formula_sum 'Pr4 Lu4 Sb4'
_cell_length_a 7.3397
_cell_length_b 7.3397
_cell_length_c 7.3397
_cell_angle_alpha 90.00
_cell_angle_beta 90.00
_cell_angle_gamma 90.00
_symmetry_space_group_name_H-M 'F -4 3 m'
_symmetry_Int_Tables_number 216
_symmetry_space_group_name_Hall 'F -4 2 3'
loop_
_atom_site_label
_atom_site_fract_x
_atom_site_fract_y
_atom_site_fract_z
Pr1 0.0000 0.0000 0.0000
Lu1 0.2500 0.2500 0.2500
Sb1 0.0000 0.0000 0.5000
```

The calculation puts the total energy at -52.82 eV for the cell shown. The value obtained for the calculated volume is 32.95 Å³ per atom.

***

8.
First-principles (GGA-PBE) data for a geometry-optimized PrSmB2As2Ir2 structure, as listed in the Open Quantum Materials Database.

```
data_PrSmB2As2Ir2
_chemical_formula_sum 'Pr1 Sm1 B2 As2 Ir2'
_cell_length_a 4.0478
_cell_length_b 4.0478
_cell_length_c 8.6758
_cell_angle_alpha 90.00
_cell_angle_beta 90.00
_cell_angle_gamma 90.00
_symmetry_space_group_name_H-M 'P 4 m m'
_symmetry_Int_Tables_number 99
loop_
_symmetry_equiv_pos_as_xyz
'x,y,z'
'-y,x,z'
'-x,-y,z'
'y,-x,z'
'-x,y,z'
'y,x,z'
'x,-y,z'
'-y,-x,z'
loop_
_atom_site_label
_atom_site_fract_x
_atom_site_fract_y
_atom_site_fract_z
Pr1 0.0000 0.0000 0.0000
Sm1 0.5000 0.5000 0.5877
B1 0.0000 0.0000 0.3952
B2 0.5000 0.5000 0.1903
As1 0.0000 0.0000 0.6428
As2 0.5000 0.5000 0.9381
Ir1 0.0000 0.5000 0.2942
```

The calculation puts the total energy at -56.57 eV for the cell shown. The value obtained for the calculated volume is 17.77 Å³ per atom.

***

9.
First-principles (GGA-PBE) data for a geometry-optimized GaNi structure, as listed in the Open Quantum Materials Database.

```
data_GaNi
_chemical_formula_sum 'Ga4 Ni4'
_cell_length_a 5.3450
_cell_length_b 5.3450
_cell_length_c 5.3450
_cell_angle_alpha 90.00
_cell_angle_beta 90.00
_cell_angle_gamma 90.00
_symmetry_space_group_name_H-M 'F -4 3 m'
_symmetry_Int_Tables_number 216
_symmetry_space_group_name_Hall 'F -4 2 3'
loop_
_atom_site_label
_atom_site_fract_x
_atom_site_fract_y
_atom_site_fract_z
Ga1 0.0000 0.0000 0.0000
Ni1 0.2500 0.2500 0.7500
```

The calculation puts the total energy at -31.35 eV for the cell shown. The value obtained for the calculated volume is 19.09 Å³ per atom.

***

10.
First-principles (GGA-PBE) data for a geometry-optimized ZnGa2FeCu4 structure, as listed in the Open Quantum Materials Database.

```
data_ZnGa2FeCu4
_chemical_formula_sum 'Zn1 Ga2 Fe1 Cu4'
_cell_length_a 4.0675
_cell_length_b 4.0675
_cell_length_c 6.1032
_cell_angle_alpha 90.00
_cell_angle_beta 90.00
_cell_angle_gamma 90.00
_symmetry_space_group_name_H-M 'P 4/m m m'
_symmetry_Int_Tables_number 123
_symmetry_space_group_name_Hall '-P 4 2'
loop_
_atom_site_label
_atom_site_fract_x
_atom_site_fract_y
_atom_site_fract_z
Zn1 0.0000 0.0000 0.0000
Ga1 0.0000 0.0000 0.5000
Ga2 0.5000 0.5000 0.0000
Fe1 0.5000 0.5000 0.5000
Cu1 0.0000 0.5000 0.2528
```

The calculation puts the total energy at -30.65 eV for the cell shown. The value obtained for the calculated volume is 12.62 Å³ per atom.

***

Look up the calculated volume of the fifth one. 28.92 Å³ per atom

***

Look up the calculated volume of the second one. 25.45 Å³ per atom

***

Among the records above, which one has the lowest calculated volume? ZnGa2FeCu4

***

What is the formula in the seventh record? PrLuSb